Entry 1:
The following is a DFT calculation (PBE-GGA) of a relaxed CsTiBeO4 crystal.

extended XYZ file:
```
14
Lattice="5.078 0.000 0.000 0.000 5.492 0.000 -0.038 0.000 7.398" Properties=species:S:1:pos:R:3 pbc="T T T"
Cs 1.171 1.373 3.113
Cs 3.869 4.119 4.285
Ti 0.790 4.119 0.251
Ti 4.250 1.373 7.148
Be 1.730 1.373 6.471
Be 3.310 4.119 0.928
O 0.632 0.151 6.374
O 0.632 2.595 6.374
O 1.893 4.119 1.755
O 2.401 1.373 0.573
O 2.639 4.119 6.826
O 3.147 1.373 5.643
O 4.408 2.897 1.024
O 4.408 5.341 1.024
```

## Properties
For the theoretical density, the calculation gives 4085 kg/m³. The value obtained for the energy is -6.863 eV per atom. The value obtained for the total moment is 2.02 μB per cell.


Entry 2:
The following is a DFT calculation (PBE-GGA) of a relaxed In2NiAg crystal.

extended XYZ file:
```
4
Lattice="6.261 -1.501 0.000 6.261 1.501 0.000 -1.508 0.000 4.132" Properties=species:S:1:pos:R:3 pbc="T T T"
In 0.000 0.000 0.000
In 1.562 0.000 2.936
Ni 8.357 0.000 0.788
Ag 4.278 0.000 1.609
```

## Properties
For the theoretical density, the calculation gives 8474 kg/m³. The value obtained for the energy is -3.561 eV per atom. The value obtained for the total moment is 0.00 μB per cell. For the density of states at the Fermi level, the calculation gives 1.6 states/eV/f.u. As for the excess energy over the best structure of this formula in the dataset: 0.0 kJ per mole of atoms. The calculation puts the energy of formation at -0.033 eV per atom.


Entry 3:
The following is a DFT calculation (PBE-GGA) of a relaxed ScTl2 crystal.

extended XYZ file:
```
3
Lattice="3.459 0.000 0.000 -1.729 2.995 0.000 0.000 0.000 7.696" Properties=species:S:1:pos:R:3 pbc="T T T"
Sc 0.000 0.000 0.000
Tl 0.000 1.997 2.488
Tl 1.729 0.998 5.208
```

## Properties
For the theoretical density, the calculation gives 9451 kg/m³. The value obtained for the energy is -3.666 eV per atom. The value obtained for the total moment is 1.16 μB per cell. For the density of states at the Fermi level, the calculation gives 3.1 states/eV/f.u. The calculation puts the energy of formation at 0.023 eV per atom.


Entry 4:
The following is a DFT calculation (PBE-GGA) of a relaxed PmTh2Ru crystal.

extended XYZ file:
```
4
Lattice="1.985 1.146 9.085 -1.985 1.146 9.085 0.000 -2.292 9.085" Properties=species:S:1:pos:R:3 pbc="T T T"
Pm 0.000 0.000 0.000
Th 0.000 0.000 6.161
Th 0.000 0.000 12.002
Ru 0.000 0.000 22.734
```

## Properties
For the theoretical density, the calculation gives 9507 kg/m³. The value obtained for the energy is -7.385 eV per atom. The value obtained for the total moment is 0.00 μB per cell. For the density of states at the Fermi level, the calculation gives 5.6 states/eV/f.u. As for the excess energy over the best structure of this formula in the dataset: 11.6 kJ per mole of atoms. The calculation puts the energy of formation at -0.169 eV per atom.


Entry 5:
The following is a DFT calculation (PBE-GGA) of a relaxed PmNd4Sc3 crystal.

extended XYZ file:
```
8
Lattice="13.673 -1.735 0.000 13.673 1.735 0.000 -0.383 0.000 5.717" Properties=species:S:1:pos:R:3 pbc="T T T"
Pm 0.000 0.000 0.000
Nd 2.555 0.000 3.043
Nd 5.143 0.000 0.356
Nd 21.820 0.000 5.360
Nd 24.407 0.000 2.674
Sc 7.872 0.000 2.446
Sc 13.481 0.000 2.858
Sc 19.090 0.000 3.270
```

## Properties
For the theoretical density, the calculation gives 5245 kg/m³. The value obtained for the energy is -5.071 eV per atom. The value obtained for the total moment is 0.00 μB per cell. For the density of states at the Fermi level, the calculation gives 14.9 states/eV/f.u. The calculation puts the energy of formation at 0.281 eV per atom.


Entry 6:
The following is a DFT calculation (PBE-GGA) of a relaxed Er7Pb4O crystal.

extended XYZ file:
```
12
Lattice="8.219 -2.493 0.000 8.219 2.493 0.000 -6.949 0.000 8.491" Properties=species:S:1:pos:R:3 pbc="T T T"
Er 0.000 0.000 0.000
Er -1.593 0.000 4.661
Er 3.733 0.000 1.243
Er 1.882 0.000 6.404
Er 7.606 0.000 2.087
Er 5.755 0.000 7.248
Er 11.081 0.000 3.830
Pb -4.199 0.000 6.727
Pb 1.238 0.000 2.930
Pb 8.250 0.000 5.561
Pb 13.687 0.000 1.764
O 8.219 0.000 0.000
```

## Properties
For the theoretical density, the calculation gives 9617 kg/m³. The value obtained for the energy is -4.989 eV per atom. The value obtained for the total moment is 0.37 μB per cell. For the density of states at the Fermi level, the calculation gives 10.0 states/eV/f.u.


Entry 7:
The following is a DFT calculation (PBE-GGA) of a relaxed CsAl3Sn crystal.

extended XYZ file:
```
5
Lattice="5.827 0.000 0.000 0.000 5.827 0.000 0.000 0.000 5.827" Properties=species:S:1:pos:R:3 pbc="T T T"
Cs 0.000 0.000 0.000
Al 0.000 0.000 2.913
Al 0.000 2.913 0.000
Al 2.913 0.000 0.000
Sn 2.913 2.913 2.913
```

## Properties
For the theoretical density, the calculation gives 2792 kg/m³. The value obtained for the energy is -1.578 eV per atom. The value obtained for the total moment is 0.00 μB per cell. For the density of states at the Fermi level, the calculation gives 2.6 states/eV/f.u. As for the excess energy over the best structure of this formula in the dataset: 97.8 kJ per mole of atoms. The calculation puts the energy of formation at 1.639 eV per atom.


Entry 8:
The following is a DFT calculation (PBE-GGA) of a relaxed MgGaO2F crystal.

extended XYZ file:
```
5
Lattice="3.842 0.000 0.000 0.000 3.842 0.000 0.000 0.000 3.804" Properties=species:S:1:pos:R:3 pbc="T T T"
Mg 0.000 0.000 0.000
Ga 1.921 1.921 1.902
O 0.000 1.921 1.902
O 1.921 0.000 1.902
F 1.921 1.921 0.000
```

## Properties
For the theoretical density, the calculation gives 4289 kg/m³. The value obtained for the energy is -5.151 eV per atom. The value obtained for the total moment is 0.00 μB per cell.